Record 1
Y2Ni2Te | PBE-GGA | optimized geometry

It has space group P4/mbm (No. 127), with a = 7.322 Å, b = 7.322 Å, c = 3.799 Å, α = 90.00°, β = 90.00° and γ = 90.00°. The distinct sites, in fractional coordinates, are Y at (0.173, 0.327, 0.000), Ni at (0.117, 0.617, 0.500) and Te at (0.000, 0.000, 0.500).

The uncorrected formation energy is -0.6698 eV per atom.

***

Record 2
TeOsBr2 | PBE-GGA | optimized geometry

It has space group Imm2 (No. 44), with a = 3.327 Å, b = 5.098 Å, c = 11.874 Å, α = 90.00°, β = 90.00° and γ = 90.00°. The distinct sites, in fractional coordinates, are Te at (0.000, 0.000, 0.000), Os at (0.000, 0.500, 0.662), Br at (0.000, 0.000, 0.350) and Br at (0.000, 0.500, 0.167).

For the relative energy among the computed polymorphs, the calculation gives 44.48 kJ/mol of atoms. The uncorrected formation energy is 0.5281 eV per atom.

***

Record 3
SrEuMg | PBE-GGA | optimized geometry

It has space group P3m1 (No. 156), with a = 5.9800 Å, b = 5.9800 Å, c = 3.8005 Å, α = 90.00°, β = 90.00° and γ = 120.00°. The distinct sites, in fractional coordinates, are Sr at (0.0000, 0.0000, 0.0000), Eu at (0.3333, 0.6667, 0.6031) and Mg at (0.6667, 0.3333, 0.3063).

For the energy relative to the elements, the calculation gives 0.07 eV/atom. For the relative energy among the computed polymorphs, the calculation gives 9.61 kJ/mol of atoms.

***

Record 4
Bi2Te4Au | PBE-GGA | optimized geometry

It has space group I4/mmm (No. 139), with a = 5.480 Å, b = 5.480 Å, c = 15.609 Å, α = 90.00°, β = 90.00° and γ = 90.00°. The distinct sites, in fractional coordinates, are Bi at (0.000, 0.000, 0.123), Te at (0.000, 0.000, 0.311), Te at (0.000, 0.500, 0.000) and Au at (0.000, 0.000, 0.500).

For the relative energy among the computed polymorphs, the calculation gives 17.76 kJ/mol of atoms. The uncorrected formation energy is 0.1677 eV per atom.

***

Record 5
V2AgPt2 | PBE-GGA | optimized geometry

It has space group P4/mbm (No. 127), with a = 7.579 Å, b = 7.579 Å, c = 2.729 Å, α = 90.00°, β = 90.00° and γ = 90.00°. The distinct sites, in fractional coordinates, are V at (0.165, 0.335, 0.000), Ag at (0.000, 0.000, 0.500) and Pt at (0.130, 0.630, 0.500).

For the energy relative to the elements, the calculation gives -0.29 eV/atom. For the relative energy among the computed polymorphs, the calculation gives 0.00 kJ/mol of atoms.

***

Record 6
Nd3Ga | PBE-GGA | optimized geometry

It has space group Fm-3m (No. 225), with a = 7.767 Å, b = 7.767 Å, c = 7.767 Å, α = 90.00°, β = 90.00° and γ = 90.00°. The distinct sites, in fractional coordinates, are Nd at (0.000, 0.000, 0.000), Nd at (0.250, 0.250, 0.250) and Ga at (0.000, 0.000, 0.500).

For the energy relative to the elements, the calculation gives -0.06 eV/atom. For the relative energy among the computed polymorphs, the calculation gives 18.58 kJ/mol of atoms.

***

Record 7
VAg3Cl6 | PBE-GGA | optimized geometry

It has space group P2_1/c (No. 14), with a = 6.695 Å, b = 6.654 Å, c = 12.007 Å, α = 90.00°, β = 122.00° and γ = 90.00°. The distinct sites, in fractional coordinates, are V at (0.000, 0.000, 0.000), Ag at (0.265, 0.037, 0.759), Ag at (0.500, 0.000, 0.500), Cl at (0.069, 0.198, 0.419), Cl at (0.259, 0.668, 0.449) and Cl at (0.327, 0.086, 0.217).

For the relative energy among the computed polymorphs, the calculation gives 0.00 kJ/mol of atoms. The uncorrected formation energy is -0.7177 eV per atom.

***

Record 8
TbPmHgGe | PBE-GGA | optimized geometry

It has space group F-43m (No. 216), with a = 7.389 Å, b = 7.389 Å, c = 7.389 Å, α = 90.00°, β = 90.00° and γ = 90.00°. The distinct sites, in fractional coordinates, are Tb at (0.000, 0.000, 0.000), Pm at (0.000, 0.000, 0.500), Hg at (0.250, 0.250, 0.750) and Ge at (0.250, 0.250, 0.250).

For the energy relative to the elements, the calculation gives -0.56 eV/atom.

***

Record 9
Cs2GeCl4 | PBE-GGA | optimized geometry

It has space group Pnma (No. 62), with a = 9.639 Å, b = 7.222 Å, c = 15.063 Å, α = 90.00°, β = 90.00° and γ = 90.00°. The distinct sites, in fractional coordinates, are Cs at (0.042, 0.250, 0.212), Cs at (0.099, 0.250, 0.582), Ge at (0.131, 0.250, 0.948), Cl at (0.045, 0.750, 0.170), Cl at (0.149, 0.750, 0.596) and Cl at (0.243, 0.505, 0.384).

For the relative energy among the computed polymorphs, the calculation gives 0.00 kJ/mol of atoms. The uncorrected formation energy is -1.5235 eV per atom.

***

Record 10
Ac2AlTlSn | PBE-GGA | optimized geometry

It has space group P2_1/m (No. 11), with a = 9.262 Å, b = 4.534 Å, c = 9.651 Å, α = 90.00°, β = 116.53° and γ = 90.00°. The distinct sites, in fractional coordinates, are Ac at (0.212, 0.250, 0.082), Ac at (0.214, 0.250, 0.601), Al at (0.078, 0.750, 0.789), Tl at (0.414, 0.750, 0.886) and Sn at (0.119, 0.750, 0.303).

For the energy relative to the elements, the calculation gives -0.41 eV/atom.

***

Record 11
BaGeAu2 | PBE-GGA | optimized geometry

It has space group I-42d (No. 122), with a = 5.469 Å, b = 5.469 Å, c = 16.647 Å, α = 90.00°, β = 90.00° and γ = 90.00°. The distinct sites, in fractional coordinates, are Ba at (0.000, 0.000, 0.000), Ge at (0.000, 0.000, 0.500) and Au at (0.080, 0.250, 0.625).

For the energy relative to the elements, the calculation gives -0.48 eV/atom.

***

Record 12
YZrAlCd | PBE-GGA | optimized geometry

It has space group F-43m (No. 216), with a = 7.121 Å, b = 7.121 Å, c = 7.121 Å, α = 90.00°, β = 90.00° and γ = 90.00°. The distinct sites, in fractional coordinates, are Y at (0.000, 0.000, 0.000), Zr at (0.000, 0.000, 0.500), Al at (0.250, 0.250, 0.750) and Cd at (0.250, 0.250, 0.250).

For the energy relative to the elements, the calculation gives -0.25 eV/atom.

***

Record 13
NbOs4Ru7 | PBE-GGA | optimized geometry

It has space group Cm (No. 8), with a = 12.718 Å, b = 4.178 Å, c = 8.345 Å, α = 90.00°, β = 126.30° and γ = 90.00°. The distinct sites, in fractional coordinates, are Nb at (0.000, 0.000, 0.000), Os at (0.136, 0.500, 0.587), Os at (0.199, 0.500, 0.206), Os at (0.301, 0.000, 0.784), Os at (0.373, 0.000, 0.400), Ru at (0.032, 0.500, 0.795), Ru at (0.037, 0.000, 0.589), Ru at (0.163, 0.000, 0.396), Ru at (0.202, 0.000, 0.997), Ru at (0.299, 0.500, 0.996), Ru at (0.341, 0.500, 0.598) and Ru at (0.468, 0.000, 0.188).

For the energy relative to the elements, the calculation gives 0.21 eV/atom.

***

Record 14
AcMg6Zn4 | PBE-GGA | optimized geometry

It has space group P-6m2 (No. 187), with a = 7.7655 Å, b = 7.7655 Å, c = 4.5269 Å, α = 90.00°, β = 90.00° and γ = 120.00°. The distinct sites, in fractional coordinates, are Ac at (0.0000, 0.0000, 0.0000), Mg at (0.2031, 0.4062, 0.5000), Mg at (0.5325, 0.0651, 0.0000), Zn at (0.3333, 0.6667, 0.0000) and Zn at (0.4213, 0.2106, 0.5000).

For the energy relative to the elements, the calculation gives -0.16 eV/atom.

***

Record 15
ScRuW2 | PBE-GGA | optimized geometry

It has space group Imm2 (No. 44), with a = 3.164 Å, b = 4.665 Å, c = 8.899 Å, α = 90.00°, β = 90.00° and γ = 90.00°. The distinct sites, in fractional coordinates, are Sc at (0.000, 0.000, 0.000), Ru at (0.000, 0.500, 0.245), W at (0.000, 0.000, 0.503) and W at (0.000, 0.500, 0.768).

For the energy relative to the elements, the calculation gives 0.07 eV/atom. For the relative energy among the computed polymorphs, the calculation gives 12.05 kJ/mol of atoms.

***

Record 16
TbNdSm5Th2 | PBE-GGA | optimized geometry

It has space group I4/mcm (No. 140), with a = 8.927 Å, b = 8.927 Å, c = 15.610 Å, α = 90.00°, β = 90.00° and γ = 90.00°. The distinct sites, in fractional coordinates, are Tb at (0.000, 0.500, 0.250), Nd at (0.000, 0.000, 0.250), Sm at (0.000, 0.000, 0.000), Sm at (0.208, 0.292, 0.138) and Th at (0.119, 0.381, 0.500).

For the energy relative to the elements, the calculation gives 0.33 eV/atom.

***

Record 17
Hf2TlH | PBE-GGA | optimized geometry

It has space group R-3m (No. 166, hexagonal axes), with a = 3.2603 Å, b = 3.2603 Å, c = 22.7039 Å, α = 90.00°, β = 90.00° and γ = 120.00°. The distinct sites, in fractional coordinates, are Hf at (0.0000, 0.0000, 0.2223), Tl at (0.0000, 0.0000, 0.0000) and H at (0.0000, 0.0000, 0.5000).

For the relative energy among the computed polymorphs, the calculation gives 4.85 kJ/mol of atoms.

***

Record 18
Tb5Te4Pb | PBE-GGA | optimized geometry

It has space group I4/m (No. 87), with a = 9.845 Å, b = 9.845 Å, c = 6.201 Å, α = 90.00°, β = 90.00° and γ = 90.00°. The distinct sites, in fractional coordinates, are Tb at (0.000, 0.000, 0.000), Tb at (0.100, 0.705, 0.500), Te at (0.098, 0.698, 0.000) and Pb at (0.000, 0.000, 0.500).

For the relative energy among the computed polymorphs, the calculation gives 0.00 kJ/mol of atoms. The uncorrected formation energy is -1.1951 eV per atom.

***

Record 19
La5TbPb3 | PBE-GGA | optimized geometry

It has space group P6_3/mcm (No. 193), with a = 9.9132 Å, b = 9.9132 Å, c = 6.9164 Å, α = 90.00°, β = 90.00° and γ = 120.00°. The distinct sites, in fractional coordinates, are La at (0.0000, 0.3311, 0.2500), La at (0.3333, 0.6667, 0.0000), Tb at (0.0000, 0.0000, 0.0000) and Pb at (0.0000, 0.3327, 0.7500).

For the energy relative to the elements, the calculation gives -0.45 eV/atom.

***

Record 20
LiHoZrPd | PBE-GGA | optimized geometry

It has space group F-43m (No. 216), with a = 6.880 Å, b = 6.880 Å, c = 6.880 Å, α = 90.00°, β = 90.00° and γ = 90.00°. The distinct sites, in fractional coordinates, are Li at (0.000, 0.000, 0.000), Ho at (0.250, 0.250, 0.250), Zr at (0.250, 0.250, 0.750) and Pd at (0.000, 0.000, 0.500).

For the energy relative to the elements, the calculation gives -0.23 eV/atom.

***

Record 21
MnGaMoP | PBE-GGA | optimized geometry

It has space group I4mm (No. 107), with a = 3.018 Å, b = 3.018 Å, c = 13.338 Å, α = 90.00°, β = 90.00° and γ = 90.00°. The distinct sites, in fractional coordinates, are Mn at (0.000, 0.000, 0.000), Ga at (0.000, 0.000, 0.606), Mo at (0.000, 0.000, 0.380) and P at (0.000, 0.000, 0.787).

For the energy relative to the elements, the calculation gives -0.16 eV/atom. For the relative energy among the computed polymorphs, the calculation gives 10.10 kJ/mol of atoms.

***

Record 22
Li2FeS2 | PBE-GGA | optimized geometry

It has space group Ibam (No. 72), with a = 5.879 Å, b = 10.084 Å, c = 5.079 Å, α = 90.00°, β = 90.00° and γ = 90.00°. The distinct sites, in fractional coordinates, are Li at (0.152, 0.133, 0.000), Fe at (0.000, 0.500, 0.250) and S at (0.223, 0.381, 0.000).

For the relative energy among the computed polymorphs, the calculation gives 5.56 kJ/mol of atoms. The uncorrected formation energy is -0.8258 eV per atom.